A plane-wave DFT calculation with SCAN was carried out for Al23V4 at its PBEsol-relaxed geometry.

Calculated values
E_form (meV/atom): -179.5
M_tot (μB/cell): 2.25
E_tot (eV/cell): -506.19
Density of states at the Fermi level (states/eV/cell): 19.6

```
Al23V4
1.0
-4.277 -1.624 -6.096
2.536 -5.619 4.482
-13.965 1.248 9.465
Al V
46 8
direct
0.210 0.790 0.029
0.750 0.875 0.617
0.210 0.421 0.471
0.875 0.125 0.117
0.421 0.210 0.529
0.919 0.460 0.834
0.126 0.251 0.250
0.460 0.540 0.334
0.790 0.210 0.971
0.250 0.125 0.383
0.750 0.875 0.883
0.251 0.126 0.750
0.125 0.875 0.883
0.749 0.874 0.250
0.540 0.460 0.666
0.421 0.210 0.971
0.667 0.333 0.116
0.667 0.333 0.384
0.790 0.210 0.529
0.460 0.540 0.166
0.790 0.579 0.529
0.125 0.250 0.883
0.874 0.749 0.750
0.875 0.125 0.383
0.919 0.460 0.666
0.210 0.790 0.471
0.210 0.421 0.029
0.125 0.250 0.617
0.333 0.667 0.616
0.579 0.790 0.471
0.125 0.875 0.617
0.540 0.081 0.666
0.540 0.081 0.834
0.460 0.919 0.334
0.579 0.790 0.029
0.874 0.126 0.750
0.875 0.750 0.383
0.875 0.750 0.117
0.081 0.540 0.166
0.540 0.460 0.834
0.081 0.540 0.334
0.333 0.667 0.884
0.250 0.125 0.117
0.460 0.919 0.166
0.790 0.579 0.971
0.126 0.874 0.250
0.219 0.439 0.750
0.781 0.561 0.250
0.561 0.781 0.750
0.439 0.219 0.250
0.219 0.781 0.750
0.000 0.000 0.500
0.781 0.219 0.250
0.000 0.000 0.000
```